No. 1
This record from Alexandria via LeMat-Bulk describes a relaxed ReRhSe4 crystal. The functional is GGA-PBE. Values from VASP.

Results
As for the space group: Cm. The crystal system is monoclinic. Its volume is 271.5 Å³/cell. The density comes out at 7.399 Mg/m³. The calculation puts the energy above the most stable polymorph in this dataset at 0.0 meV/atom. The value obtained for the formation energy from raw total energies is -0.278 eV per atom.

Cell and atoms, written as Quantum ESPRESSO input:
```
&SYSTEM
  ibrav = 0, nat = 12, ntyp = 3
/
ATOMIC_SPECIES
Re 186.21 Re.upf
Rh 102.91 Rh.upf
Se 78.96 Se.upf
CELL_PARAMETERS angstrom
12.964 0.000 0.000
0.000 3.605 0.000
-1.140 0.000 5.810
ATOMIC_POSITIONS angstrom
Re 0.000 0.000 0.000
Re 6.482 1.803 0.000
Rh 5.786 0.000 3.448
Rh 12.268 1.803 3.448
Se 0.775 0.000 2.529
Se 0.589 1.803 5.608
Se 3.978 1.803 3.845
Se 5.019 0.000 1.044
Se 7.257 1.803 2.529
Se 7.071 0.000 5.608
Se 10.460 0.000 3.845
Se 11.501 1.803 1.044
```

=====

No. 2
This record from Alexandria via LeMat-Bulk describes a relaxed ReRhSe4 crystal. The functional is GGA-PBE. Values from VASP.

Results
As for the space group: C2/c. The crystal system is monoclinic. Its volume is 238.1 Å³/cell. The density comes out at 8.440 Mg/m³. The calculation puts the energy above the most stable polymorph in this dataset at 117.3 meV/atom. The value obtained for the formation energy from raw total energies is -0.161 eV per atom.

Cell and atoms, written as Quantum ESPRESSO input:
```
&SYSTEM
  ibrav = 0, nat = 12, ntyp = 3
/
ATOMIC_SPECIES
Re 186.21 Re.upf
Rh 102.91 Rh.upf
Se 78.96 Se.upf
CELL_PARAMETERS angstrom
4.055 -6.964 0.000
4.055 6.964 0.000
-3.440 0.000 4.215
ATOMIC_POSITIONS angstrom
Re 1.475 6.262 3.162
Re 3.195 -6.262 1.054
Rh 3.195 2.639 1.054
Rh 1.475 -2.639 3.162
Se -0.117 4.210 3.320
Se -0.635 0.786 3.553
Se 1.085 -0.786 1.446
Se 3.066 4.210 3.003
Se 1.603 -4.210 1.213
Se 3.585 0.786 2.770
Se 5.305 -0.786 0.662
Se 4.786 -4.210 0.895
```

=====

No. 3
This record from Alexandria via LeMat-Bulk describes a relaxed Tl2ReRhSe crystal. The functional is GGA-PBE. Values from VASP.

Results
As for the space group: P4/mmm. The crystal system is tetragonal. Its volume is 143.4 Å³/cell. The density comes out at 8.994 Mg/m³. The value obtained for the formation energy from raw total energies is 1.530 eV per atom.

Cell and atoms, written as Quantum ESPRESSO input:
```
&SYSTEM
  ibrav = 0, nat = 5, ntyp = 4
/
ATOMIC_SPECIES
Tl 204.38 Tl.upf
Re 186.21 Re.upf
Rh 102.91 Rh.upf
Se 78.96 Se.upf
CELL_PARAMETERS angstrom
5.615 0.000 0.000
0.000 5.615 0.000
0.000 0.000 4.549
ATOMIC_POSITIONS angstrom
Tl 0.000 2.808 0.000
Tl 2.808 0.000 0.000
Re 0.000 0.000 2.274
Rh 2.808 2.808 2.274
Se 0.000 0.000 0.000
```

=====

No. 4
This record from Alexandria via LeMat-Bulk describes a relaxed VReRhSe2 crystal. The functional is GGA-PBE. Values from VASP.

Results
As for the space group: P4/mmm. The crystal system is tetragonal. Its volume is 99.2 Å³/cell. The density comes out at 8.340 Mg/m³. The value obtained for the formation energy from raw total energies is 1.140 eV per atom.

Cell and atoms, written as Quantum ESPRESSO input:
```
&SYSTEM
  ibrav = 0, nat = 5, ntyp = 4
/
ATOMIC_SPECIES
V 50.94 V.upf
Re 186.21 Re.upf
Rh 102.91 Rh.upf
Se 78.96 Se.upf
CELL_PARAMETERS angstrom
4.647 0.000 0.000
0.000 4.647 0.000
0.000 0.000 4.592
ATOMIC_POSITIONS angstrom
V 0.000 0.000 0.000
Re 2.323 2.323 2.296
Rh 0.000 0.000 2.296
Se 0.000 2.323 0.000
Se 2.323 0.000 0.000
```

=====

No. 5
This record from Alexandria via LeMat-Bulk describes a relaxed ZnReRh2Se crystal. The functional is GGA-PBE. Values from VASP.

Results
As for the space group: P4/mmm. The crystal system is tetragonal. Its volume is 94.1 Å³/cell. The density comes out at 9.466 Mg/m³. The value obtained for the formation energy from raw total energies is 1.253 eV per atom.

Cell and atoms, written as Quantum ESPRESSO input:
```
&SYSTEM
  ibrav = 0, nat = 5, ntyp = 4
/
ATOMIC_SPECIES
Zn 65.41 Zn.upf
Re 186.21 Re.upf
Rh 102.91 Rh.upf
Se 78.96 Se.upf
CELL_PARAMETERS angstrom
4.565 0.000 0.000
0.000 4.565 0.000
0.000 0.000 4.516
ATOMIC_POSITIONS angstrom
Zn 0.000 0.000 0.000
Re 2.282 2.282 0.000
Rh 0.000 2.282 2.258
Rh 2.282 0.000 2.258
Se 0.000 0.000 2.258
```

=====

No. 6
This record from Alexandria via LeMat-Bulk describes a relaxed Re2SiRh crystal. The functional is GGA-PBE. Values from VASP.

Results
As for the space group: Cmmm. The crystal system is orthorhombic. Its volume is 114.2 Å³/cell. The density comes out at 14.645 Mg/m³. The value obtained for the formation energy from raw total energies is 0.061 eV per atom.

Cell and atoms, written as Quantum ESPRESSO input:
```
&SYSTEM
  ibrav = 0, nat = 8, ntyp = 3
/
ATOMIC_SPECIES
Re 186.21 Re.upf
Si 28.09 Si.upf
Rh 102.91 Rh.upf
CELL_PARAMETERS angstrom
5.111 0.000 0.000
0.000 8.002 0.000
0.000 0.000 2.791
ATOMIC_POSITIONS angstrom
Re 1.278 2.001 0.000
Re 1.278 6.002 0.000
Re 3.833 2.001 0.000
Re 3.833 6.002 0.000
Si 0.000 0.000 1.396
Si 2.556 4.001 1.396
Rh 0.000 4.001 1.396
Rh 2.556 0.000 1.396
```

=====

No. 7
This record from Alexandria via LeMat-Bulk describes a relaxed Re2SiRh crystal. The functional is GGA-PBE. Values from VASP.

Results
As for the space group: I-4m2. The crystal system is tetragonal. Its volume is 113.4 Å³/cell. The density comes out at 14.749 Mg/m³. The value obtained for the formation energy from raw total energies is -0.026 eV per atom.

Cell and atoms, written as Quantum ESPRESSO input:
```
&SYSTEM
  ibrav = 0, nat = 8, ntyp = 3
/
ATOMIC_SPECIES
Re 186.21 Re.upf
Si 28.09 Si.upf
Rh 102.91 Rh.upf
CELL_PARAMETERS angstrom
3.880 0.000 0.000
0.000 3.880 0.000
0.000 0.000 7.528
ATOMIC_POSITIONS angstrom
Re 0.000 0.000 0.000
Re 0.000 1.940 1.882
Re 1.940 0.000 5.646
Re 1.940 1.940 3.764
Si 0.000 0.000 3.764
Si 1.940 1.940 0.000
Rh 0.000 1.940 5.646
Rh 1.940 0.000 1.882
```

=====

No. 8
This record from Alexandria via LeMat-Bulk describes a relaxed Re2Si2Rh crystal. The functional is GGA-PBE. Values from VASP.

Results
As for the space group: I4/mmm. The crystal system is tetragonal. Its volume is 148.2 Å³/cell. The density comes out at 11.913 Mg/m³. The calculation puts the energy above the most stable polymorph in this dataset at 233.1 meV/atom. The value obtained for the formation energy from raw total energies is 0.189 eV per atom.

Cell and atoms, written as Quantum ESPRESSO input:
```
&SYSTEM
  ibrav = 0, nat = 10, ntyp = 3
/
ATOMIC_SPECIES
Re 186.21 Re.upf
Si 28.09 Si.upf
Rh 102.91 Rh.upf
CELL_PARAMETERS angstrom
3.410 0.000 0.000
0.000 3.410 0.000
0.000 0.000 12.739
ATOMIC_POSITIONS angstrom
Re 0.000 0.000 1.379
Re 0.000 0.000 11.361
Re 1.705 1.705 4.991
Re 1.705 1.705 7.748
Si 0.000 1.705 3.185
Si 0.000 1.705 9.555
Si 1.705 0.000 3.185
Si 1.705 0.000 9.555
Rh 0.000 0.000 6.370
Rh 1.705 1.705 0.000
```

=====

No. 9
This record from Alexandria via LeMat-Bulk describes a relaxed ReSiRh2 crystal. The functional is GGA-PBE. Values from VASP.

Results
As for the space group: C2/m. The crystal system is monoclinic. Its volume is 110.9 Å³/cell. The density comes out at 12.583 Mg/m³. The value obtained for the formation energy from raw total energies is -0.200 eV per atom.

Cell and atoms, written as Quantum ESPRESSO input:
```
&SYSTEM
  ibrav = 0, nat = 8, ntyp = 3
/
ATOMIC_SPECIES
Re 186.21 Re.upf
Si 28.09 Si.upf
Rh 102.91 Rh.upf
CELL_PARAMETERS angstrom
8.938 0.000 0.000
0.000 2.766 0.000
-1.006 0.000 4.485
ATOMIC_POSITIONS angstrom
Re 0.000 0.000 0.000
Re 4.469 1.383 0.000
Si -0.503 1.383 2.243
Si 3.966 0.000 2.243
Rh 1.400 0.000 3.350
Rh 2.063 1.383 1.136
Rh 5.869 1.383 3.350
Rh 6.532 0.000 1.136
```

=====

No. 10
This record from Alexandria via LeMat-Bulk describes a relaxed ReSiRh crystal. The functional is GGA-PBE. Values from VASP.

Results
As for the space group: I4mm. The crystal system is tetragonal. Its volume is 81.9 Å³/cell. The density comes out at 12.865 Mg/m³. The calculation puts the energy above the most stable polymorph in this dataset at 0.0 meV/atom. The value obtained for the formation energy from raw total energies is -0.258 eV per atom.

Cell and atoms, written as Quantum ESPRESSO input:
```
&SYSTEM
  ibrav = 0, nat = 6, ntyp = 3
/
ATOMIC_SPECIES
Re 186.21 Re.upf
Si 28.09 Si.upf
Rh 102.91 Rh.upf
CELL_PARAMETERS angstrom
2.898 0.000 0.000
0.000 2.898 0.000
0.000 0.000 9.748
ATOMIC_POSITIONS angstrom
Re 0.000 0.000 0.000
Re 1.449 1.449 4.874
Si 0.000 0.000 6.335
Si 1.449 1.449 1.461
Rh 0.000 0.000 2.918
Rh 1.449 1.449 7.792
```

=====

No. 11
This record from Alexandria via LeMat-Bulk describes a relaxed ReSiRh crystal. The functional is GGA-PBE. Values from VASP.

Results
As for the space group: F-43m. The crystal system is cubic. Its volume is 184.1 Å³/cell. The density comes out at 11.442 Mg/m³. The calculation puts the energy above the most stable polymorph in this dataset at 247.6 meV/atom. The value obtained for the formation energy from raw total energies is -0.011 eV per atom.

Cell and atoms, written as Quantum ESPRESSO input:
```
&SYSTEM
  ibrav = 0, nat = 12, ntyp = 3
/
ATOMIC_SPECIES
Re 186.21 Re.upf
Si 28.09 Si.upf
Rh 102.91 Rh.upf
CELL_PARAMETERS angstrom
5.689 0.000 0.000
0.000 5.689 0.000
0.000 0.000 5.689
ATOMIC_POSITIONS angstrom
Re 0.000 0.000 0.000
Re 0.000 2.845 2.845
Re 2.845 0.000 2.845
Re 2.845 2.845 0.000
Si 1.422 1.422 1.422
Si 1.422 4.267 4.267
Si 4.267 1.422 4.267
Si 4.267 4.267 1.422
Rh 0.000 0.000 2.845
Rh 0.000 2.845 0.000
Rh 2.845 0.000 0.000
Rh 2.845 2.845 2.845
```

=====

No. 12
This record from Alexandria via LeMat-Bulk describes a relaxed Re2Si2Rh crystal. The functional is GGA-PBE. Values from VASP.

Results
As for the space group: P4/mbm. The crystal system is tetragonal. Its volume is 140.0 Å³/cell. The density comes out at 12.609 Mg/m³. The calculation puts the energy above the most stable polymorph in this dataset at 0.0 meV/atom. The value obtained for the formation energy from raw total energies is -0.044 eV per atom.

Cell and atoms, written as Quantum ESPRESSO input:
```
&SYSTEM
  ibrav = 0, nat = 10, ntyp = 3
/
ATOMIC_SPECIES
Re 186.21 Re.upf
Si 28.09 Si.upf
Rh 102.91 Rh.upf
CELL_PARAMETERS angstrom
6.924 0.000 0.000
0.000 6.924 0.000
0.000 0.000 2.920
ATOMIC_POSITIONS angstrom
Re 1.051 2.411 0.000
Re 2.411 5.873 0.000
Re 4.513 1.051 0.000
Re 5.873 4.513 0.000
Si 1.007 4.469 1.460
Si 2.455 1.007 1.460
Si 4.469 5.917 1.460
Si 5.917 2.455 1.460
Rh 0.000 0.000 1.460
Rh 3.462 3.462 1.460
```

=====

No. 13
This record from Alexandria via LeMat-Bulk describes a relaxed ReSiRh2 crystal. The functional is GGA-PBE. Values from VASP.

Results
As for the space group: Pmmm. The crystal system is orthorhombic. Its volume is 56.0 Å³/cell. The density comes out at 12.446 Mg/m³. The value obtained for the formation energy from raw total energies is -0.077 eV per atom.

Cell and atoms, written as Quantum ESPRESSO input:
```
&SYSTEM
  ibrav = 0, nat = 4, ntyp = 3
/
ATOMIC_SPECIES
Re 186.21 Re.upf
Si 28.09 Si.upf
Rh 102.91 Rh.upf
CELL_PARAMETERS angstrom
2.843 0.000 0.000
0.000 4.431 0.000
0.000 0.000 4.449
ATOMIC_POSITIONS angstrom
Re 0.000 0.000 0.000
Si 1.422 0.000 2.224
Rh 0.000 2.216 2.224
Rh 1.422 2.216 0.000
```

=====

No. 14
This record from Alexandria via LeMat-Bulk describes a relaxed Re2SiRh crystal. The functional is GGA-PBE. Values from VASP.

Results
As for the space group: Pm. The crystal system is monoclinic. Its volume is 56.7 Å³/cell. The density comes out at 14.733 Mg/m³. The value obtained for the formation energy from raw total energies is -0.186 eV per atom.

Cell and atoms, written as Quantum ESPRESSO input:
```
&SYSTEM
  ibrav = 0, nat = 4, ntyp = 3
/
ATOMIC_SPECIES
Re 186.21 Re.upf
Si 28.09 Si.upf
Rh 102.91 Rh.upf
CELL_PARAMETERS angstrom
2.779 0.000 0.000
0.000 4.032 0.000
-1.387 0.000 5.064
ATOMIC_POSITIONS angstrom
Re 0.000 0.000 0.000
Re 0.004 2.016 3.806
Si 1.395 0.000 2.601
Rh 1.389 2.016 1.393
```

=====

No. 15
This record from Alexandria via LeMat-Bulk describes a relaxed Re2SiRh crystal. The functional is GGA-PBE. Values from VASP.

Results
As for the space group: I4/mmm. The crystal system is tetragonal. Its volume is 113.3 Å³/cell. The density comes out at 14.760 Mg/m³. The value obtained for the formation energy from raw total energies is 0.031 eV per atom.

Cell and atoms, written as Quantum ESPRESSO input:
```
&SYSTEM
  ibrav = 0, nat = 8, ntyp = 3
/
ATOMIC_SPECIES
Re 186.21 Re.upf
Si 28.09 Si.upf
Rh 102.91 Rh.upf
CELL_PARAMETERS angstrom
3.786 0.000 0.000
0.000 3.786 0.000
0.000 0.000 7.902
ATOMIC_POSITIONS angstrom
Re 0.000 1.893 1.976
Re 0.000 1.893 5.927
Re 1.893 0.000 1.976
Re 1.893 0.000 5.927
Si 0.000 0.000 0.000
Si 1.893 1.893 3.951
Rh 0.000 0.000 3.951
Rh 1.893 1.893 0.000
```